Computed, not measured: an optimized crystal structure of LaCeCd6 at the PBE level of DFT.

Calculated values
For the formation energy, the calculation gives -0.25 eV per atom.

Cell lengths 5.003, 6.812, 6.812 Å; angles 117.47, 90.00, 90.00 degrees
Fractional positions:
Cd (0.500, 0.887, 0.561)
Cd (0.000, 0.586, 0.414)
Cd (0.500, 0.920, 0.080)
Cd (0.000, 0.052, 0.383)
Cd (0.000, 0.617, 0.948)
Cd (0.500, 0.439, 0.113)
La (0.500, 0.401, 0.599)
Ce (0.000, 0.098, 0.902)

=====

Computed, not measured: an optimized crystal structure of KTaIn2 at the PBE level of DFT.

Calculated values
As for the offset from the most stable computed form: 277 meV per atom. For the formation energy, the calculation gives 0.51 eV per atom.

Cell lengths 3.084, 3.084, 10.762 Å; angles 90.00, 90.00, 95.35 degrees
Fractional positions:
Ta (0.500, 0.500, 0.789)
In (0.500, 0.500, 0.221)
In (0.000, 0.000, 0.987)
K (0.000, 0.000, 0.503)

=====

Computed, not measured: an optimized crystal structure of TbTm3Mg8 at the PBE level of DFT.

Calculated values
For the formation energy, the calculation gives -0.06 eV per atom.

Cell lengths 6.036, 6.036, 9.711 Å; angles 90.00, 90.00, 120.00 degrees
Fractional positions:
Mg (0.163, 0.325, 0.249)
Mg (0.333, 0.667, 0.000)
Mg (0.163, 0.837, 0.249)
Mg (0.333, 0.667, 0.500)
Mg (0.991, 0.496, 0.751)
Mg (0.504, 0.496, 0.751)
Mg (0.504, 0.009, 0.751)
Mg (0.675, 0.837, 0.249)
Tb (0.000, 0.000, 0.565)
Tm (0.000, 0.000, 0.938)
Tm (0.667, 0.333, 0.063)
Tm (0.667, 0.333, 0.435)

=====

Computed, not measured: an optimized crystal structure of ZrCrMo2 at the PBE level of DFT.

Calculated values
As for the offset from the most stable computed form: 330 meV per atom. For the formation energy, the calculation gives 0.40 eV per atom.

Cell lengths 8.713, 8.713, 8.713 Å; angles 19.89, 19.89, 19.89 degrees
Fractional positions:
Cr (0.743, 0.743, 0.743)
Mo (0.005, 0.005, 0.005)
Mo (0.256, 0.256, 0.256)
Zr (0.496, 0.496, 0.496)

=====

Computed, not measured: an optimized crystal structure of Mg2ZnAg5 at the PBE level of DFT.

Calculated values
As for the offset from the most stable computed form: 0 meV per atom. For the formation energy, the calculation gives -0.15 eV per atom.

Cell lengths 4.269, 5.739, 11.507 Å; angles 90.00, 90.00, 90.00 degrees
Fractional positions:
Mg (0.500, 0.289, 0.368)
Mg (0.500, 0.711, 0.632)
Mg (0.500, 0.211, 0.868)
Mg (0.500, 0.789, 0.132)
Zn (0.000, 0.000, 0.500)
Zn (0.000, 0.500, 0.000)
Ag (0.500, 0.288, 0.115)
Ag (0.000, 0.000, 0.000)
Ag (0.500, 0.212, 0.615)
Ag (0.000, 0.040, 0.255)
Ag (0.000, 0.500, 0.500)
Ag (0.000, 0.540, 0.245)
Ag (0.000, 0.460, 0.755)
Ag (0.500, 0.712, 0.885)
Ag (0.000, 0.960, 0.745)
Ag (0.500, 0.788, 0.385)

=====

Computed, not measured: an optimized crystal structure of Cs2InB2O6 at the PBE level of DFT.

Calculated values
For the formation energy without anion corrections, the calculation gives -2018.1 kJ/mol of formula units.

Cell lengths 5.466, 5.466, 7.975 Å; angles 69.96, 69.96, 60.00 degrees
Fractional positions:
B (0.611, 0.611, 0.167)
B (0.389, 0.389, 0.833)
O (0.754, 0.316, 0.176)
O (0.246, 0.684, 0.824)
O (0.246, 0.246, 0.824)
O (0.316, 0.754, 0.176)
O (0.684, 0.246, 0.824)
O (0.754, 0.754, 0.176)
In (0.000, 0.000, 0.000)
Cs (0.215, 0.215, 0.355)
Cs (0.785, 0.785, 0.645)

=====

Computed, not measured: an optimized crystal structure of La2ErZn6 at the PBE level of DFT.

Calculated values
For the formation energy, the calculation gives -0.35 eV per atom.

Cell lengths 3.603, 7.951, 7.951 Å; angles 120.00, 90.00, 90.00 degrees
Fractional positions:
Zn (0.500, 0.000, 0.674)
Zn (0.500, 0.326, 0.000)
Zn (0.500, 0.000, 0.326)
Zn (0.500, 0.326, 0.326)
Zn (0.500, 0.674, 0.000)
Zn (0.500, 0.674, 0.674)
Er (0.000, 0.000, 0.000)
La (0.000, 0.333, 0.667)
La (0.000, 0.667, 0.333)

=====

Computed, not measured: an optimized crystal structure of DyScH at the PBE level of DFT.

Calculated values
As for the offset from the most stable computed form: 206 meV per atom.

Cell lengths 3.250, 3.250, 6.174 Å; angles 105.26, 105.26, 90.00 degrees
Fractional positions:
Dy (0.745, 0.745, 0.490)
Sc (0.038, 0.038, 0.075)
H (0.217, 0.217, 0.435)

=====

Computed, not measured: an optimized crystal structure of Zr2CuIrRh at the PBE level of DFT.

Calculated values
For the formation energy, the calculation gives 0.59 eV per atom.

Cell lengths 4.753, 4.385, 4.753 Å; angles 90.00, 90.00, 90.00 degrees
Fractional positions:
Zr (0.000, 0.000, 0.500)
Zr (0.500, 0.000, 0.000)
Ir (0.500, 0.500, 0.500)
Rh (0.000, 0.500, 0.000)
Cu (0.000, 0.000, 0.000)

=====

Computed, not measured: an optimized crystal structure of Ba2TcSb at the PBE level of DFT.

Calculated values
For the formation energy without anion corrections, the calculation gives 209.3 kJ/mol of formula units.

Cell lengths 9.460, 9.460, 9.460 Å; angles 27.67, 27.67, 27.67 degrees
Fractional positions:
Ba (0.500, 0.500, 0.500)
Ba (0.000, 0.000, 0.000)
Sb (0.250, 0.250, 0.250)
Tc (0.750, 0.750, 0.750)

=====

Computed, not measured: an optimized crystal structure of In2Sn2Pb at the PBE level of DFT.

Calculated values
As for the offset from the most stable computed form: 0 meV per atom. For the formation energy, the calculation gives 0.03 eV per atom.

Cell lengths 3.512, 4.597, 9.289 Å; angles 104.33, 102.76, 90.00 degrees
Fractional positions:
In (0.701, 0.701, 0.403)
In (0.299, 0.299, 0.597)
Sn (0.108, 0.108, 0.215)
Sn (0.892, 0.892, 0.785)
Pb (0.500, 0.500, 0.000)

=====

Computed, not measured: an optimized crystal structure of CeSc4Zn5 at the PBE level of DFT.

Calculated values
For the formation energy, the calculation gives -0.33 eV per atom.

Cell lengths 3.338, 3.338, 17.602 Å; angles 90.00, 90.00, 90.00 degrees
Fractional positions:
Zn (0.500, 0.500, 0.120)
Zn (0.500, 0.500, 0.880)
Zn (0.500, 0.500, 0.691)
Zn (0.500, 0.500, 0.500)
Zn (0.500, 0.500, 0.309)
Ce (0.000, 0.000, 0.000)
Sc (0.000, 0.000, 0.596)
Sc (0.000, 0.000, 0.214)
Sc (0.000, 0.000, 0.786)
Sc (0.000, 0.000, 0.404)